Here is an optimized crystal structure of TbHo4Pu from the Alexandria database. Energies are from PBE-GGA.

a b c (Å): 9.3042 9.3042 11.3766
angles (deg): 90.00 90.00 158.21
Last column: nearest neighbours and their distance in Å.
Element x y z (fractional)
Tb1 0.2219 0.7781 0.5000  7 Ho 3.46-3.52, 3 Pu 3.47-3.52, 2 Tb 3.52
Tb2 0.7781 0.2219 0.0000  7 Ho 3.46-3.52, 3 Pu 3.47-3.52, 2 Tb 3.52
Ho1 0.0007 0.9993 0.2543  10 Ho 3.47-3.55, 2 Pu 3.50
Ho2 0.1112 0.8888 0.0067  2 Pu 3.45, 8 Ho 3.47-3.54, 2 Tb 3.52
Ho3 0.3322 0.6679 0.2528  3 Tb 3.46-3.51, 2 Pu 3.50, 7 Ho 3.51-3.55
Ho4 0.4440 0.5560 0.0023  9 Ho 3.47-3.52, 1 Pu 3.49, 2 Tb 3.50
Ho5 0.5560 0.4440 0.5023  9 Ho 3.47-3.52, 1 Pu 3.49, 2 Tb 3.50
Ho6 0.6679 0.3322 0.7528  3 Tb 3.46-3.51, 2 Pu 3.50, 7 Ho 3.51-3.55
Ho7 0.8888 0.1112 0.5067  2 Pu 3.45, 8 Ho 3.47-3.54, 2 Tb 3.52
Ho8 0.9993 0.0007 0.7543  10 Ho 3.47-3.55, 2 Pu 3.50
Pu1 0.3337 0.6663 0.7523  7 Ho 3.45-3.50, 3 Tb 3.47-3.52, 2 Pu 3.52
Pu2 0.6663 0.3337 0.2523  7 Ho 3.45-3.50, 3 Tb 3.47-3.52, 2 Pu 3.52

Computed properties:
energy relative to the elements = 0.3 eV/f.u.
DOS at the Fermi energy = 2.07 states/eV/atom
magnetic moment = 11.9 μB per cell
space-group type = Cmc2_1
electronic total energy = -73.98 eV/cell
relative energy among the computed polymorphs = 0.0 meV/atom